1.
# Mg3Tl5 | Alexandria | meta-GGA SCAN | single point on PBEsol structure
# Size of the total moment   0.0 μB per formula unit
# Energy relative to the elements   -38 meV per atom
# E_tot   -47.127 eV/atom
# Mass density   8.931 Mg/m³
# Calculated volume   814.2 Å³/cell
data_Mg3Tl5
_cell_length_a 11.571
_cell_length_b 11.571
_cell_length_c 6.081
_cell_angle_alpha 90.00
_cell_angle_beta 90.00
_cell_angle_gamma 90.00
_symmetry_space_group_name_H-M 'I 4/m c m'
_symmetry_Int_Tables_number 140
_symmetry_space_group_name_Hall '-I 4 2c'
loop_
_atom_site_label
_atom_site_type_symbol
_atom_site_fract_x
_atom_site_fract_y
_atom_site_fract_z
Mg1 Mg 0.000 0.000 0.250
Mg2 Mg 0.173 0.327 0.000
Tl1 Tl 0.000 0.500 0.250
Tl2 Tl 0.071 0.227 0.500

2.
# TmMgTl | Alexandria | meta-GGA SCAN | single point on PBEsol structure
# Size of the total moment   0.0 μB per formula unit
# Energy relative to the elements   -506 meV per atom
# E_tot   -43.561 eV/atom
# Mass density   9.187 Mg/m³
# Calculated volume   215.6 Å³/cell
data_TmMgTl
_cell_length_a 7.3832
_cell_length_b 7.3832
_cell_length_c 4.5673
_cell_angle_alpha 90.00
_cell_angle_beta 90.00
_cell_angle_gamma 120.00
_symmetry_space_group_name_H-M 'P -6 2 m'
_symmetry_Int_Tables_number 189
_symmetry_space_group_name_Hall 'P -6 -2'
loop_
_atom_site_label
_atom_site_type_symbol
_atom_site_fract_x
_atom_site_fract_y
_atom_site_fract_z
Tm1 Tm 0.0000 0.5679 0.0000
Mg1 Mg 0.0000 0.2432 0.5000
Tl1 Tl 0.0000 0.0000 0.0000
Tl2 Tl 0.3333 0.6667 0.5000

3.
# MgTl3W | Alexandria | meta-GGA SCAN | single point on PBEsol structure
# Size of the total moment   4.4 μB per formula unit
# Energy relative to the elements   1482 meV per atom
# E_tot   -56.866 eV/atom
# Mass density   9.297 Mg/m³
# Calculated volume   146.7 Å³/cell
data_MgTl3W
_cell_length_a 5.274
_cell_length_b 5.274
_cell_length_c 5.274
_cell_angle_alpha 90.00
_cell_angle_beta 90.00
_cell_angle_gamma 90.00
_symmetry_space_group_name_H-M 'P m -3 m'
_symmetry_Int_Tables_number 221
_symmetry_space_group_name_Hall '-P 4 2 3'
loop_
_atom_site_label
_atom_site_type_symbol
_atom_site_fract_x
_atom_site_fract_y
_atom_site_fract_z
Mg1 Mg 0.000 0.000 0.000
Tl1 Tl 0.000 0.000 0.500
W1 W 0.500 0.500 0.500

4.
# Mg2TlW | Alexandria | meta-GGA SCAN | single point on PBEsol structure
# Size of the total moment   0.0 μB per formula unit
# Energy relative to the elements   337 meV per atom
# E_tot   -37.662 eV/atom
# Mass density   9.200 Mg/m³
# Calculated volume   157.7 Å³/cell
data_Mg2TlW
_cell_length_a 3.864
_cell_length_b 4.334
_cell_length_c 9.416
_cell_angle_alpha 90.00
_cell_angle_beta 90.00
_cell_angle_gamma 90.00
_symmetry_space_group_name_H-M 'C m m m'
_symmetry_Int_Tables_number 65
_symmetry_space_group_name_Hall '-C 2 2'
loop_
_atom_site_label
_atom_site_type_symbol
_atom_site_fract_x
_atom_site_fract_y
_atom_site_fract_z
Mg1 Mg 0.000 0.000 0.223
Tl1 Tl 0.000 0.500 0.500
W1 W 0.000 0.500 0.000

5.
# Mg2TlW | Alexandria | meta-GGA SCAN | single point on PBEsol structure
# Size of the total moment   0.0 μB per formula unit
# Energy relative to the elements   424 meV per atom
# E_tot   -37.574 eV/atom
# Mass density   9.235 Mg/m³
# Calculated volume   235.6 Å³/cell
data_Mg2TlW
_cell_length_a 3.0393
_cell_length_b 3.0393
_cell_length_c 29.4552
_cell_angle_alpha 90.00
_cell_angle_beta 90.00
_cell_angle_gamma 120.00
_symmetry_space_group_name_H-M 'R -3 m'
_symmetry_Int_Tables_number 166
_symmetry_space_group_name_Hall '-R 3 2"'
loop_
_atom_site_label
_atom_site_type_symbol
_atom_site_fract_x
_atom_site_fract_y
_atom_site_fract_z
Mg1 Mg 0.0000 0.0000 0.2442
Tl1 Tl 0.0000 0.0000 0.0000
W1 W 0.0000 0.0000 0.5000

6.
# Mg2TlW | Alexandria | meta-GGA SCAN | single point on PBEsol structure
# Size of the total moment   0.9 μB per formula unit
# Energy relative to the elements   595 meV per atom
# E_tot   -37.403 eV/atom
# Mass density   9.552 Mg/m³
# Calculated volume   151.9 Å³/cell
data_Mg2TlW
_cell_length_a 4.050
_cell_length_b 4.050
_cell_length_c 9.259
_cell_angle_alpha 90.00
_cell_angle_beta 90.00
_cell_angle_gamma 90.00
_symmetry_space_group_name_H-M 'I 4/m m m'
_symmetry_Int_Tables_number 139
_symmetry_space_group_name_Hall '-I 4 2'
loop_
_atom_site_label
_atom_site_type_symbol
_atom_site_fract_x
_atom_site_fract_y
_atom_site_fract_z
Mg1 Mg 0.000 0.500 0.250
Tl1 Tl 0.000 0.000 0.000
W1 W 0.000 0.000 0.500

7.
# MgTl2W | Alexandria | meta-GGA SCAN | single point on PBEsol structure
# Size of the total moment   0.0 μB per formula unit
# Energy relative to the elements   781 meV per atom
# E_tot   -54.064 eV/atom
# Mass density   12.909 Mg/m³
# Calculated volume   158.7 Å³/cell
data_MgTl2W
_cell_length_a 6.157
_cell_length_b 8.476
_cell_length_c 3.042
_cell_angle_alpha 90.00
_cell_angle_beta 90.00
_cell_angle_gamma 90.00
_symmetry_space_group_name_H-M 'C m m m'
_symmetry_Int_Tables_number 65
_symmetry_space_group_name_Hall '-C 2 2'
loop_
_atom_site_label
_atom_site_type_symbol
_atom_site_fract_x
_atom_site_fract_y
_atom_site_fract_z
Mg1 Mg 0.000 0.000 0.000
Tl1 Tl 0.250 0.250 0.500
W1 W 0.000 0.500 0.000

8.
# MgTl2W | Alexandria | meta-GGA SCAN | single point on PBEsol structure
# Size of the total moment   0.0 μB per formula unit
# Energy relative to the elements   753 meV per atom
# E_tot   -54.091 eV/atom
# Mass density   12.514 Mg/m³
# Calculated volume   81.9 Å³/cell
data_MgTl2W
_cell_length_a 3.077
_cell_length_b 4.456
_cell_length_c 5.971
_cell_angle_alpha 90.00
_cell_angle_beta 90.00
_cell_angle_gamma 90.00
_symmetry_space_group_name_H-M 'P m m 2'
_symmetry_Int_Tables_number 25
loop_
_symmetry_equiv_pos_as_xyz
'x,y,z'
'-x,-y,z'
'-x,y,z'
'x,-y,z'
loop_
_atom_site_label
_atom_site_type_symbol
_atom_site_fract_x
_atom_site_fract_y
_atom_site_fract_z
Mg1 Mg 0.000 0.000 0.000
Tl1 Tl 0.000 0.000 0.543
Tl2 Tl 0.500 0.500 0.242
W1 W 0.500 0.500 0.761